Compound: CeThPt2
Source: the Alexandria database
Functional: PBE
Structure: relaxed

Lattice parameters (Å, degrees): 4.2019 4.2019 7.1585 90.02 107.05 120.00
Each line ends with the local moment (μB).
Element x y z (fractional)
Pt 0.4994 0.2497 0.7491  -0.01
Pt 0.5006 0.7503 0.2510  -0.01
Th 0.0000 0.5000 0.5000  0.02
Ce 0.0000 0.0000 0.0000  0.61

Computed properties:
M_tot, μB/f.u.: 0.7
Energy above the lowest structure with this stoichiometry, eV per atom: 0.038
Total DFT energy (no corrections), eV/atom: -7.488
Calculated formation energy, kJ/mol of atoms: -108.9